Entry 1:
PuThOsPt: relaxed, PBE-GGA.

Lattice parameters (Å, degrees): 4.984 4.984 4.984 60.00 60.00 60.00
Last column: magnetic moment on the atom in μB.
Positions (direct):
Os  0.250  0.250  0.250  -0.40
Pt  0.750  0.750  0.750  -0.04
Th  0.000  0.000  0.000  0.17
Pu  0.500  0.500  0.500  5.10

Properties
Space-group type ... F-43m
Magnetic moment ... 5.19 μB per formula unit
N(E_F) ... 2.386 states/eV/atom
ΔE_f ... -0.44 eV per atom
E ... -40.8 eV/cell
Calculated density ... 16.3 g/cm³

=====

Entry 2:
HoTm2ScS4: relaxed, PBE-GGA.

Lattice parameters (Å, degrees): 3.793 6.633 6.631 109.14 90.00 90.00
Positions (direct):
Ho  0.500  0.500  0.000
Tm  0.500  0.000  0.500
Tm  0.000  0.500  0.500
Sc  0.000  0.000  0.000
S  0.500  0.242  0.245
S  0.500  0.758  0.755
S  0.000  0.244  0.751
S  0.000  0.756  0.249

Properties
Space-group type ... P2/m
Magnetic moment ... 0.00 μB per formula unit
N(E_F) ... 0.606 states/eV/atom
E ... -51.7 eV/cell
Calculated density ... 7.1 g/cm³
Formation energy from raw total energies ... -1.92 eV/atom

=====

Entry 3:
Ba8Pt2Pb: relaxed, PBE-GGA.

Lattice parameters (Å, degrees): 6.500 10.634 10.632 120.02 90.00 90.01
Positions (direct):
Ba  0.253  0.667  0.333
Ba  0.747  0.333  0.667
Ba  0.748  0.830  0.168
Ba  0.252  0.168  0.338
Ba  0.252  0.662  0.830
Ba  0.252  0.170  0.832
Ba  0.748  0.832  0.662
Ba  0.748  0.338  0.170
Pt  0.242  0.333  0.667
Pt  0.758  0.667  0.333
Pb  0.000  0.000  0.000

Properties
Space-group type ... P-3
Magnetic moment ... 0.00 μB per formula unit
N(E_F) ... 1.280 states/eV/atom
ΔE_f ... -0.25 eV per atom
E ... -33.9 eV/cell
Calculated density ... 4.4 g/cm³

=====

Entry 4:
AsAuCl: relaxed, PBE-GGA.

Lattice parameters (Å, degrees): 7.607 7.103 3.665 83.36 68.05 28.59
Positions (direct):
As  0.037  0.037  0.963
Au  0.666  0.666  0.334
Cl  0.297  0.297  0.703

Properties
Space-group type ... Fmm2
Magnetic moment ... 0.00 μB per formula unit
N(E_F) ... 0.514 states/eV/atom
E ... -9.7 eV/cell
Polymorph energy (0 for the lowest one) ... 0.251 eV per atom
Calculated density ... 6.6 g/cm³
Formation energy from raw total energies ... 0.04 eV/atom

=====

Entry 5:
AlSiSb2I: relaxed, PBE-GGA.

Lattice parameters (Å, degrees): 5.326 5.326 5.331 90.00 90.00 90.00
Positions (direct):
I  0.000  0.000  0.500
Sb  0.000  0.500  0.000
Sb  0.500  0.000  0.000
Si  0.500  0.500  0.500
Al  0.000  0.000  0.000

Properties
Space-group type ... P4/mmm
Magnetic moment ... 0.00 μB per formula unit
N(E_F) ... 1.007 states/eV/atom
E ... -15.0 eV/cell
Polymorph energy (0 for the lowest one) ... 0.137 eV per atom
Calculated density ... 4.7 g/cm³
Formation energy from raw total energies ... 0.79 eV/atom

=====

Entry 6:
Mg2Sb2Br: relaxed, PBE-GGA.

Lattice parameters (Å, degrees): 8.939 8.939 3.228 90.00 90.00 90.00
Positions (direct):
Sb  0.132  0.632  0.500
Sb  0.632  0.868  0.500
Sb  0.868  0.368  0.500
Sb  0.368  0.132  0.500
Mg  0.336  0.836  0.000
Mg  0.836  0.664  0.000
Mg  0.664  0.164  0.000
Mg  0.164  0.336  0.000
Br  0.000  0.000  0.000
Br  0.500  0.500  0.000

Properties
Space-group type ... P4/mbm
Magnetic moment ... 0.00 μB per formula unit
N(E_F) ... 0.593 states/eV/atom
E ... -28.4 eV/cell
Calculated density ... 4.8 g/cm³
Formation energy from raw total energies ... -0.22 eV/atom

=====

Entry 7:
Y2OsC2: relaxed, PBE-GGA.

Lattice parameters (Å, degrees): 5.085 6.114 6.740 116.76 90.00 114.57
Positions (direct):
Y  0.679  0.357  0.619
Y  0.321  0.643  0.381
Y  0.033  0.066  0.779
Y  0.967  0.934  0.221
Os  0.364  0.728  0.868
Os  0.636  0.272  0.132
C  0.179  0.359  0.603
C  0.821  0.641  0.397
C  0.488  0.976  0.219
C  0.512  0.024  0.781

Properties
Space-group type ... C2/m
Magnetic moment ... 0.00 μB per formula unit
N(E_F) ... 0.559 states/eV/atom
ΔE_f ... -0.32 eV per atom
E ... -88.4 eV/cell
Polymorph energy (0 for the lowest one) ... 0.064 eV per atom
Calculated density ... 7.9 g/cm³

=====

Entry 8:
ZnCrSi2: relaxed, PBE-GGA.

Lattice parameters (Å, degrees): 4.614 4.614 4.614 132.52 132.55 69.38
Last column: magnetic moment on the atom in μB.
Positions (direct):
Cr  0.250  0.750  0.500  1.77
Si  0.000  0.000  0.000  -0.02
Si  0.500  0.500  0.000  -0.02
Zn  0.750  0.250  0.500  -0.01

Properties
Space-group type ... I4/mmm
Magnetic moment ... 1.81 μB per formula unit
N(E_F) ... 0.340 states/eV/atom
E ... -21.4 eV/cell
Calculated density ... 5.5 g/cm³
Formation energy from raw total energies ... 0.09 eV/atom

=====

Entry 9:
Ba3HfCu2O6: relaxed, PBE-GGA.

Lattice parameters (Å, degrees): 6.040 6.040 6.837 90.00 90.00 120.00
Positions (direct):
Ba  0.333  0.667  0.653
Ba  0.667  0.333  0.347
Ba  0.000  0.000  0.000
Hf  0.000  0.000  0.500
Cu  0.667  0.333  0.790
Cu  0.333  0.667  0.210
O  0.681  0.840  0.317
O  0.160  0.319  0.317
O  0.160  0.840  0.317
O  0.840  0.681  0.683
O  0.319  0.160  0.683
O  0.840  0.160  0.683

Properties
Space-group type ... P-3m1
Magnetic moment ... 0.00 μB per formula unit
N(E_F) ... 0.339 states/eV/atom
E ... -79.6 eV/cell
Calculated density ... 6.3 g/cm³
Formation energy from raw total energies ... -2.16 eV/atom

=====

Entry 10:
Ce2Fe5CoB2: relaxed, PBE-GGA.

Lattice parameters (Å, degrees): 3.022 9.074 9.074 90.00 90.00 90.00
Last column: magnetic moment on the atom in μB.
Positions (direct):
Ce  0.000  0.677  0.177  -0.47
Ce  0.000  0.323  0.823  -0.47
Ce  0.000  0.177  0.323  -0.47
Ce  0.000  0.823  0.677  -0.47
Fe  0.500  0.220  0.069  1.42
Fe  0.500  0.780  0.931  1.42
Fe  0.500  0.069  0.780  1.42
Fe  0.500  0.720  0.431  1.42
Fe  0.500  0.931  0.220  1.42
Fe  0.500  0.280  0.569  1.42
Fe  0.500  0.569  0.720  1.42
Fe  0.500  0.431  0.280  1.42
Fe  0.500  0.500  0.000  -0.31
Fe  0.500  0.000  0.500  -0.31
Co  0.000  0.000  0.000  1.75
Co  0.000  0.500  0.500  1.75
B  0.000  0.119  0.619  -0.08
B  0.000  0.881  0.381  -0.08
B  0.000  0.619  0.881  -0.08
B  0.000  0.381  0.119  -0.08

Properties
Space-group type ... P4/mbm
Magnetic moment ... 5.59 μB per formula unit
N(E_F) ... 1.136 states/eV/atom
ΔE_f ... -0.12 eV per atom
E ... -151.7 eV/cell
Calculated density ... 8.5 g/cm³

=====

Entry 11:
RbPuCu2I6: relaxed, PBE-GGA.

Lattice parameters (Å, degrees): 9.743 11.599 11.599 71.29 57.22 57.22
Last column: magnetic moment on the atom in μB.
Positions (direct):
Rb  0.250  0.843  0.157  0.00
Rb  0.750  0.157  0.843  0.00
Pu  0.250  0.258  0.742  5.17
Pu  0.750  0.742  0.258  5.17
Cu  0.456  0.881  0.566  -0.03
Cu  0.044  0.434  0.119  -0.03
Cu  0.544  0.119  0.434  -0.03
Cu  0.956  0.566  0.881  -0.03
I  0.226  0.978  0.807  -0.03
I  0.274  0.193  0.022  -0.03
I  0.774  0.022  0.193  -0.03
I  0.726  0.807  0.978  -0.03
I  0.322  0.906  0.416  -0.03
I  0.178  0.584  0.094  -0.03
I  0.678  0.094  0.584  -0.03
I  0.822  0.416  0.906  -0.03
I  0.282  0.517  0.706  -0.03
I  0.218  0.294  0.483  -0.03
I  0.718  0.483  0.294  -0.03
I  0.782  0.706  0.517  -0.03

Properties
Space-group type ... C2/c
Magnetic moment ... 5.00 μB per formula unit
N(E_F) ... 1.120 states/eV/atom
E ... -81.2 eV/cell
Calculated density ... 4.4 g/cm³
Formation energy from raw total energies ... -0.78 eV/atom

=====

Entry 12:
Tb3YTl4Se8: relaxed, PBE-GGA.

Lattice parameters (Å, degrees): 8.401 9.163 8.402 117.32 120.00 90.00
Positions (direct):
Tb  0.500  0.500  0.000
Tb  0.500  0.500  0.500
Tb  0.000  0.500  0.500
Y  0.000  0.500  0.000
Tl  0.500  0.000  0.000
Tl  0.500  0.000  0.500
Tl  0.000  0.000  0.000
Tl  0.000  0.000  0.500
Se  0.235  0.705  0.970
Se  0.235  0.705  0.470
Se  0.265  0.295  0.530
Se  0.736  0.705  0.970
Se  0.264  0.295  0.030
Se  0.735  0.705  0.470
Se  0.765  0.295  0.530
Se  0.765  0.295  0.030

Properties
Space-group type ... R-3m
Magnetic moment ... 0.00 μB per formula unit
E ... -80.0 eV/cell
Calculated density ... 7.0 g/cm³
Formation energy from raw total energies ... -1.39 eV/atom

=====

> The lowest E belongs to which entry?

Ce2Fe5CoB2

=====

Repeat the twelfth record exactly.
Tb3YTl4Se8: relaxed, PBE-GGA.

Lattice parameters (Å, degrees): 8.401 9.163 8.402 117.32 120.00 90.00
Positions (direct):
Tb  0.500  0.500  0.000
Tb  0.500  0.500  0.500
Tb  0.000  0.500  0.500
Y  0.000  0.500  0.000
Tl  0.500  0.000  0.000
Tl  0.500  0.000  0.500
Tl  0.000  0.000  0.000
Tl  0.000  0.000  0.500
Se  0.235  0.705  0.970
Se  0.235  0.705  0.470
Se  0.265  0.295  0.530
Se  0.736  0.705  0.970
Se  0.264  0.295  0.030
Se  0.735  0.705  0.470
Se  0.765  0.295  0.530
Se  0.765  0.295  0.030

Properties
Space-group type ... R-3m
Magnetic moment ... 0.00 μB per formula unit
E ... -80.0 eV/cell
Calculated density ... 7.0 g/cm³
Formation energy from raw total energies ... -1.39 eV/atom